First-principles (PBE-GGA) data for crystalline ScNiW3 at its relaxed geometry, as listed in Alexandria via LeMat-Bulk.

Cell: 4.5446 4.5446 4.5446 Å, 90.00 90.00 90.00°
With the nearest neighbours (Å) after each atom.
Space group Pm-3m (No. 221)
Symmetry-distinct sites (fractional):
Sc  0.0000  0.0000  0.0000  12 W 3.21
Ni  0.5000  0.5000  0.5000  6 W 2.27
W  0.0000  0.5000  0.5000  2 Ni 2.27

* DOS(E_F): 4.469 states/eV/cell
* polymorph energy (0 for the lowest one): 0.0 meV per atom
* calculated formation energy: 1.252 eV/atom